(1)
VASP calculation (PBE) on a geometry-optimized Pr4SiHgI2 structure.

Cell and atoms, written as CIF:
```
data_Pr4SiHgI2
_cell_length_a 7.868
_cell_length_b 4.363
_cell_length_c 7.974
_cell_angle_alpha 90.00
_cell_angle_beta 107.60
_cell_angle_gamma 90.00
_symmetry_space_group_name_H-M 'P 1 2/m 1'
_symmetry_Int_Tables_number 10
_symmetry_space_group_name_Hall '-P 2y'
loop_
_atom_site_label
_atom_site_type_symbol
_atom_site_fract_x
_atom_site_fract_y
_atom_site_fract_z
Pr1 Pr 0.223 0.000 0.208
Pr2 Pr 0.250 0.500 0.782
Si1 Si 0.000 0.500 0.000
Hg1 Hg 0.500 0.000 0.000
I1 I 0.000 0.000 0.500
I2 I 0.500 0.500 0.500
```


(2)
VASP calculation (PBE) on a geometry-optimized HgPt2I2 structure.

Cell and atoms, written as CIF:
```
data_HgPt2I2
_cell_length_a 3.950
_cell_length_b 3.950
_cell_length_c 16.817
_cell_angle_alpha 90.00
_cell_angle_beta 90.00
_cell_angle_gamma 90.00
_symmetry_space_group_name_H-M 'I 4/m m m'
_symmetry_Int_Tables_number 139
_symmetry_space_group_name_Hall '-I 4 2'
loop_
_atom_site_label
_atom_site_type_symbol
_atom_site_fract_x
_atom_site_fract_y
_atom_site_fract_z
Hg1 Hg 0.000 0.000 0.000
Pt1 Pt 0.000 0.500 0.250
I1 I 0.000 0.000 0.372
```


Computed ρ (g cm⁻³) in order:
6.66 10.69
Computed energy relative to the elements, uncorrected (eV/atom) in order:
-0.787 0.321
Computed energy (eV/cell) in order:
-34.24 -27.76